# 1
An optimized crystal structure of LiFeW2. Source: the Alexandria database, functional PBE-GGA.

a = 4.5090 Å, b = 4.5090 Å, c = 4.5090 Å
α = 128.61°, β = 128.61°, γ = 75.64°
Each line ends with the local moment (μB).
Sites, in units of the cell vectors:
Fe (0.2500, 0.7500, 0.5000)  1.62
Li (0.7500, 0.2500, 0.5000)  0.00
W (0.0000, 0.0000, 0.0000)  0.02
W (0.5000, 0.5000, 0.0000)  0.02

Calculated values
For the polymorph energy (0 for the lowest one), the calculation gives 185 meV per atom. The value obtained for the density of states at the Fermi level is 3.5 states/eV/f.u. The total energy comes out at -8.593 eV per atom. The value obtained for the energy of formation is 0.48 eV/atom.

# 2
An optimized crystal structure of LiFeW. Source: the Alexandria database, functional PBE-GGA.

a = 4.8064 Å, b = 4.8064 Å, c = 4.8064 Å
α = 143.53°, β = 143.53°, γ = 52.52°
Each line ends with the local moment (μB).
Sites, in units of the cell vectors:
W (0.6508, 0.6508, 0.0000)  0.07
Li (0.3422, 0.3422, 0.0000)  0.00
Fe (0.0070, 0.0070, 0.0000)  0.64

Calculated values
For the polymorph energy (0 for the lowest one), the calculation gives 93 meV per atom. The value obtained for the density of states at the Fermi level is 2.5 states/eV/f.u. The total energy comes out at -7.339 eV per atom. The value obtained for the energy of formation is 0.44 eV/atom.

# 3
An optimized crystal structure of LiZrFe2W. Source: the Alexandria database, functional PBE-GGA.

a = 4.0262 Å, b = 4.2890 Å, c = 4.0262 Å
α = 90.00°, β = 90.00°, γ = 90.00°
Sites, in units of the cell vectors:
Fe (0.0000, 0.0000, 0.5000)
Fe (0.5000, 0.0000, 0.0000)
W (0.5000, 0.5000, 0.5000)
Li (0.0000, 0.0000, 0.0000)
Zr (0.0000, 0.5000, 0.0000)

Calculated values
The value obtained for the density of states at the Fermi level is 8.7 states/eV/f.u. The total energy comes out at -6.922 eV per atom. The value obtained for the energy of formation is 1.15 eV/atom.

# 4
An optimized crystal structure of Li3YFe. Source: the Alexandria database, functional PBE-GGA.

a = 4.6649 Å, b = 4.6649 Å, c = 4.6649 Å
α = 90.00°, β = 90.00°, γ = 90.00°
Each line ends with the local moment (μB).
Sites, in units of the cell vectors:
Li (0.0000, 0.5000, 0.0000)  0.00
Li (0.5000, 0.0000, 0.0000)  0.00
Li (0.0000, 0.0000, 0.5000)  -0.01
Fe (0.0000, 0.0000, 0.0000)  2.62
Y (0.5000, 0.5000, 0.5000)  -0.27

Calculated values
For the polymorph energy (0 for the lowest one), the calculation gives 0 meV per atom. The value obtained for the density of states at the Fermi level is 2.9 states/eV/f.u. The total energy comes out at -3.557 eV per atom. The value obtained for the energy of formation is 0.58 eV/atom.

# 5
An optimized crystal structure of Li3YFe. Source: the Alexandria database, functional PBE-GGA.

a = 4.8808 Å, b = 4.8808 Å, c = 4.8808 Å
α = 90.00°, β = 90.00°, γ = 90.00°
Each line ends with the local moment (μB).
Sites, in units of the cell vectors:
Li (0.0000, 0.5000, 0.0000)  0.02
Li (0.5000, 0.0000, 0.0000)  0.03
Li (0.0000, 0.0000, 0.5000)  0.01
Fe (0.5000, 0.5000, 0.5000)  -0.57
Y (0.0000, 0.0000, 0.0000)  0.59

Calculated values
For the polymorph energy (0 for the lowest one), the calculation gives 1305 meV per atom. The value obtained for the density of states at the Fermi level is 25.7 states/eV/f.u. The total energy comes out at -2.252 eV per atom. The value obtained for the energy of formation is 1.88 eV/atom.

# 6
An optimized crystal structure of LiY2Fe2. Source: the Alexandria database, functional PBE-GGA.

a = 7.2515 Å, b = 7.2515 Å, c = 3.9259 Å
α = 90.00°, β = 90.00°, γ = 90.00°
Each line ends with the local moment (μB).
Sites, in units of the cell vectors:
Fe (0.3921, 0.8921, 0.0000)  1.99
Fe (0.6079, 0.1079, 0.0000)  1.98
Fe (0.1079, 0.3921, 0.0000)  1.96
Fe (0.8921, 0.6079, 0.0000)  1.96
Li (0.5000, 0.5000, 0.0000)  -0.05
Li (0.0000, 0.0000, 0.0000)  -0.05
Y (0.3216, 0.1784, 0.5000)  -0.26
Y (0.8216, 0.3216, 0.5000)  -0.26
Y (0.1784, 0.6784, 0.5000)  -0.25
Y (0.6784, 0.8216, 0.5000)  -0.26

Calculated values
The value obtained for the density of states at the Fermi level is 4.7 states/eV/f.u. The total energy comes out at -6.243 eV per atom. The value obtained for the energy of formation is 0.11 eV/atom.